1.
A plane-wave DFT calculation with PBE was carried out for an optimized crystal structure of LiTm3Pd12.

* symmetry: P4/mmm
* formation enthalpy at 0 K: -0.737 eV/atom

Lattice parameters (Å, degrees): 4.074 4.074 15.991 90.00 90.00 90.00
Atoms (fractional coordinates):
Li 0.000 0.000 0.000
Tm 0.000 0.000 0.243
Tm 0.000 0.000 0.500
Tm 0.000 0.000 0.757
Pd 0.000 0.500 0.115
Pd 0.000 0.500 0.371
Pd 0.000 0.500 0.629
Pd 0.000 0.500 0.885
Pd 0.500 0.000 0.115
Pd 0.500 0.000 0.371
Pd 0.500 0.000 0.629
Pd 0.500 0.000 0.885
Pd 0.500 0.500 0.000
Pd 0.500 0.500 0.242
Pd 0.500 0.500 0.500
Pd 0.500 0.500 0.758

***

2.
A plane-wave DFT calculation with PBE was carried out for an optimized crystal structure of LaBe2Sb.

* energy relative to the lowest polymorph listed for this composition: 0.195 eV/atom
* symmetry: C2/m
* formation energy without anion corrections: -0.03 eV/atom

Lattice parameters (Å, degrees): 4.271 4.271 5.698 110.93 110.93 57.02
Atoms (fractional coordinates):
La 0.000 0.000 0.000
Be 0.226 0.226 0.639
Be 0.774 0.774 0.361
Sb 0.500 0.500 0.500

***

3.
A plane-wave DFT calculation with PBE was carried out for an optimized crystal structure of Ca2YSc.

* energy relative to the lowest polymorph listed for this composition: 0.103 eV/atom
* symmetry: Immm
* formation enthalpy at 0 K: 0.192 eV/atom

Lattice parameters (Å, degrees): 6.929 6.929 6.929 147.59 130.98 60.00
Atoms (fractional coordinates):
Ca 0.237 0.237 0.000
Ca 0.763 0.763 0.000
Y 0.500 0.000 0.500
Sc 0.000 0.500 0.500

***

4.
A plane-wave DFT calculation with PBE was carried out for an optimized crystal structure of BaNaMgP2.

* symmetry: P4/mmm
* formation enthalpy at 0 K: 0.193 eV/atom

Lattice parameters (Å, degrees): 5.227 5.227 4.912 90.00 90.00 90.00
Atoms (fractional coordinates):
Ba 0.000 0.000 0.000
Na 0.500 0.500 0.500
Mg 0.500 0.500 0.000
P 0.000 0.500 0.500
P 0.500 0.000 0.500